Model i:
This record from Alexandria describes crystalline KTe2WN at its relaxed geometry. The functional is PBE.

## Properties
Crystal system = tetragonal
Space group = No. 123
Calculated density = 6617 kg/m3
M_tot = 0.00 μB/cell

Lattice parameters (Å, degrees): 5.645 5.645 3.876 90.00 90.00 90.00
Positions (direct):
K 0.500 0.500 0.500
Te 0.000 0.500 0.000
Te 0.500 0.000 0.000
W 0.000 0.000 0.000
N 0.000 0.000 0.500

=====

Model ii:
This record from Alexandria describes crystalline KTe2WN at its relaxed geometry. The functional is PBE.

## Properties
Crystal system = tetragonal
Space group = No. 123
Calculated density = 6454 kg/m3
M_tot = 0.03 μB/cell

Lattice parameters (Å, degrees): 5.603 4.033 5.603 90.00 90.00 90.00
Positions (direct):
K 0.000 0.000 0.000
Te 0.000 0.000 0.500
Te 0.500 0.000 0.000
W 0.500 0.500 0.500
N 0.000 0.500 0.000

=====

Stability ranking, top entry: model i; the second entry is 2.710 eV/atom less favorable.

=====

Model i:
This record from Alexandria describes crystalline KZnTeN2 at its relaxed geometry. The functional is PBE.

## Properties
Crystal system = tetragonal
Space group = No. 123
Calculated density = 2599 kg/m3
M_tot = 5.46 μB/cell

Lattice parameters (Å, degrees): 4.875 4.875 6.995 90.00 90.00 90.00
Positions (direct):
Zn 0.500 0.500 0.500
Te 0.000 0.000 0.500
K 0.000 0.000 0.000
N 0.000 0.500 0.000
N 0.500 0.000 0.000

=====

Model ii:
This record from Alexandria describes crystalline KZnTeN2 at its relaxed geometry. The functional is PBE.

## Properties
Crystal system = tetragonal
Space group = No. 123
Calculated density = 3827 kg/m3
M_tot = 4.82 μB/cell

Lattice parameters (Å, degrees): 4.543 4.543 5.470 90.00 90.00 90.00
Positions (direct):
Zn 0.000 0.000 0.000
Te 0.000 0.000 0.500
K 0.500 0.500 0.500
N 0.000 0.500 0.000
N 0.500 0.000 0.000

=====

Stability ranking, top entry: model ii; the second entry is 0.747 eV/atom less favorable.